# 1
{"formula": "KCdHg2Bi", "functional": "PBE", "state": "optimized geometry", "sg": "Imm2 (44)", "dft_energy_ev_per_atom": -1.47, "polymorph_energy_ev_per_atom": 0.0000, "crystal_system": "orthorhombic", "lattice_angstrom": [[-4.0915, 0.0940, -2.7549], [-1.9432, -3.5881, 2.7636], [0.4294, 6.2268, 3.9921]], "species": ["Hg", "Hg", "K", "Bi", "Cd"], "frac_coords": [[0.6841, 0.1841, 0.3682], [0.0581, 0.0581, 0.1161], [0.4484, 0.4484, 0.8968], [0.8300, 0.8300, 0.6599], [0.1916, 0.6916, 0.3833]]}

***

# 2
{"formula": "K2Cd3HgBi4", "functional": "PBE", "state": "optimized geometry", "sg": "P-4m2 (115)", "dft_energy_ev_per_atom": -2.27, "crystal_system": "tetragonal", "lattice_angstrom": [[5.2584, 0.0000, 0.0000], [0.0000, 5.2584, 0.0000], [0.0000, 0.0000, 12.2804]], "species": ["Bi", "K", "K", "Cd", "Bi", "Cd", "Bi", "Cd", "Bi", "Hg"], "frac_coords": [[0.0000, 0.5000, 0.3705], [0.0000, 0.5000, 0.7443], [0.5000, 0.0000, 0.2557], [0.5000, 0.0000, 0.8673], [0.5000, 0.0000, 0.6295], [0.0000, 0.0000, 0.5000], [0.0000, 0.0000, 0.0000], [0.0000, 0.5000, 0.1327], [0.5000, 0.5000, 0.0000], [0.5000, 0.5000, 0.5000]]}

***

# 3
{"formula": "K2Cd4HgBi3", "functional": "PBE", "state": "optimized geometry", "sg": "P-4m2 (115)", "dft_energy_ev_per_atom": -1.98, "crystal_system": "tetragonal", "lattice_angstrom": [[5.2457, 0.0000, 0.0000], [0.0000, 5.2457, 0.0000], [0.0000, 0.0000, 12.1200]], "species": ["Cd", "Cd", "K", "K", "Bi", "Hg", "Bi", "Cd", "Bi", "Cd"], "frac_coords": [[0.5000, 0.0000, 0.6237], [0.5000, 0.5000, 0.0000], [0.0000, 0.5000, 0.7499], [0.5000, 0.0000, 0.2501], [0.0000, 0.0000, 0.5000], [0.5000, 0.5000, 0.5000], [0.5000, 0.0000, 0.8671], [0.0000, 0.5000, 0.3763], [0.0000, 0.5000, 0.1329], [0.0000, 0.0000, 0.0000]]}

***

# 4
{"formula": "K2CdHgBi", "functional": "PBE", "state": "optimized geometry", "sg": "P4/mmm (123)", "dft_energy_ev_per_atom": -1.59, "crystal_system": "tetragonal", "lattice_angstrom": [[6.8885, 0.0000, 0.0000], [0.0000, 6.8885, 0.0000], [0.0000, 0.0000, 5.9186]], "species": ["K", "Bi", "K", "Hg", "Cd"], "frac_coords": [[0.0000, 0.5000, 0.0000], [0.0000, 0.0000, 0.0000], [0.5000, 0.0000, 0.0000], [0.5000, 0.5000, 0.5000], [0.0000, 0.0000, 0.5000]]}

***

# 5
{"formula": "KCdHgBi2", "functional": "PBE", "state": "optimized geometry", "sg": "I-4m2 (119)", "dft_energy_ev_per_atom": -2.16, "crystal_system": "tetragonal", "lattice_angstrom": [[4.8964, 0.0000, 0.0000], [0.0000, 4.8964, 0.0000], [-2.4482, -2.4482, 7.0279]], "species": ["Bi", "Cd", "K", "Bi", "Hg"], "frac_coords": [[0.6177, 0.6177, 0.2355], [0.2500, 0.7500, 0.5000], [0.0000, 0.0000, 0.0000], [0.3823, 0.3823, 0.7645], [0.7500, 0.2500, 0.5000]]}

***

# 6
{"formula": "KCdHgBi", "functional": "PBE", "state": "optimized geometry", "sg": "F-43m (216)", "dft_energy_ev_per_atom": -1.70, "polymorph_energy_ev_per_atom": 0.0460, "crystal_system": "cubic", "lattice_angstrom": [[5.5558, 0.0000, 0.0000], [2.7779, 4.8115, 0.0000], [2.7779, 1.6038, 4.5363]], "species": ["Bi", "Cd", "K", "Hg"], "frac_coords": [[0.7500, 0.7500, 0.7500], [0.0000, 0.0000, 0.0000], [0.2500, 0.2500, 0.2500], [0.5000, 0.5000, 0.5000]]}

***

# 7
{"formula": "KCdHg2Bi", "functional": "PBE", "state": "optimized geometry", "sg": "P4/mmm (123)", "dft_energy_ev_per_atom": -1.32, "polymorph_energy_ev_per_atom": 0.1478, "crystal_system": "tetragonal", "lattice_angstrom": [[-3.2489, 4.6595, 0.2625], [-3.3236, -2.5346, 3.8555], [3.3724, 2.1095, 4.2939]], "species": ["K", "Hg", "Cd", "Hg", "Bi"], "frac_coords": [[0.5000, 0.5000, 0.5000], [0.5000, 0.0000, 0.0000], [0.0000, 0.0000, 0.0000], [0.0000, 0.5000, 0.0000], [0.0000, 0.0000, 0.5000]]}

***

# 8
{"formula": "KCdHgBi", "functional": "PBE", "state": "optimized geometry", "sg": "R3m (160)", "dft_energy_ev_per_atom": -1.74, "polymorph_energy_ev_per_atom": 0.0000, "crystal_system": "trigonal", "lattice_angstrom": [[-4.7786, -1.6980, -0.4674], [1.9701, 0.8198, 4.6262], [-2.4362, 6.0962, 2.7614]], "species": ["Cd", "Bi", "Hg", "K"], "frac_coords": [[0.8229, 0.6457, 0.8070], [0.1417, 0.2834, 0.8508], [0.3770, 0.7541, 0.1439], [0.6127, 0.2255, 0.4374]]}

***

# 9
{"formula": "LaCdHgBi", "functional": "PBE", "state": "optimized geometry", "sg": "Pmmm (47)", "dft_energy_ev_per_atom": -3.03, "polymorph_energy_ev_per_atom": 0.0000, "crystal_system": "orthorhombic", "lattice_angstrom": [[-3.5308, -1.4338, -2.5402], [2.4782, -3.8980, -1.2443], [-1.9240, -2.5334, 4.1043]], "species": ["Cd", "Bi", "Hg", "La"], "frac_coords": [[0.0000, 0.0000, 0.0000], [0.5000, 0.0000, 0.5000], [0.5000, 0.5000, 0.0000], [0.0000, 0.5000, 0.5000]]}

***

# 10
{"formula": "LaCdHgBi", "functional": "PBE", "state": "optimized geometry", "sg": "F-43m (216)", "dft_energy_ev_per_atom": -2.89, "polymorph_energy_ev_per_atom": 0.1389, "crystal_system": "cubic", "lattice_angstrom": [[-4.6916, -1.5594, -2.3120], [-2.9741, -3.9723, 2.2724], [-4.7538, 1.1855, 2.4050]], "species": ["La", "Hg", "Bi", "Cd"], "frac_coords": [[0.7500, 0.7500, 0.7500], [0.5000, 0.5000, 0.5000], [0.0000, 0.0000, 0.0000], [0.2500, 0.2500, 0.2500]]}

***

# 11
{"formula": "Li2CdHg4Bi", "functional": "PBE", "state": "optimized geometry", "sg": "R-3m (166)", "dft_energy_ev_per_atom": -1.39, "crystal_system": "trigonal", "lattice_angstrom": [[-3.1270, 0.2794, -3.7977], [0.3774, -3.1840, -3.7415], [-6.4655, -6.5152, 1.6478]], "species": ["Bi", "Hg", "Hg", "Li", "Hg", "Cd", "Hg", "Li"], "frac_coords": [[0.0000, 0.0000, 0.0000], [0.3882, 0.3882, 0.8355], [0.8731, 0.8731, 0.3808], [0.7523, 0.7523, 0.7430], [0.1269, 0.1269, 0.6192], [0.5000, 0.5000, 0.5000], [0.6118, 0.6118, 0.1645], [0.2477, 0.2477, 0.2570]]}

***

# 12
{"formula": "Li5Cd2Hg2Bi", "functional": "PBE", "state": "optimized geometry", "sg": "P4/mbm (127)", "dft_energy_ev_per_atom": -1.86, "crystal_system": "tetragonal", "lattice_angstrom": [[-0.4365, -0.3950, -3.3797], [-0.1032, -11.0158, 1.3008], [-11.0022, 0.2672, 1.3899]], "species": ["Hg", "Cd", "Li", "Bi", "Li", "Li", "Li", "Hg", "Cd", "Cd", "Bi", "Hg", "Li", "Li", "Li", "Li", "Li", "Li", "Hg", "Cd"], "frac_coords": [[0.0000, 0.6367, 0.8633], [0.0000, 0.3518, 0.8518], [0.5000, 0.3659, 0.3365], [0.0000, 0.5000, 0.5000], [0.5000, 0.0000, 0.5000], [0.5000, 0.6635, 0.3659], [0.5000, 0.8659, 0.1635], [0.0000, 0.1367, 0.6367], [0.0000, 0.6482, 0.1482], [0.0000, 0.1482, 0.3518], [0.0000, 0.0000, 0.0000], [0.0000, 0.3633, 0.1367], [0.5000, 0.3365, 0.6341], [0.5000, 0.5000, 0.0000], [0.5000, 0.1635, 0.1341], [0.5000, 0.6341, 0.6635], [0.5000, 0.1341, 0.8365], [0.5000, 0.8365, 0.8659], [0.0000, 0.8633, 0.3633], [0.0000, 0.8518, 0.6482]]}

***

# 13
{"formula": "LiCdHg2Bi", "functional": "PBE", "state": "optimized geometry", "sg": "P2_1/m (11)", "dft_energy_ev_per_atom": -1.59, "crystal_system": "monoclinic", "lattice_angstrom": [[-4.1121, -1.1014, -1.3195], [3.4019, -3.9089, -7.3389], [-0.2563, -4.5920, 4.6318]], "species": ["Hg", "Hg", "Cd", "Bi", "Hg", "Li", "Li", "Hg", "Cd", "Bi"], "frac_coords": [[0.7500, 0.6640, 0.5140], [0.2500, 0.5205, 0.1584], [0.7500, 0.1342, 0.5712], [0.2500, 0.0904, 0.8915], [0.7500, 0.4795, 0.8416], [0.7500, 0.2890, 0.1729], [0.2500, 0.7110, 0.8271], [0.2500, 0.3360, 0.4860], [0.2500, 0.8658, 0.4288], [0.7500, 0.9096, 0.1085]]}

***

# 14
{"formula": "Li2CdHg2Bi", "functional": "PBE", "state": "optimized geometry", "sg": "R-3m (166)", "dft_energy_ev_per_atom": -1.64, "crystal_system": "trigonal", "lattice_angstrom": [[4.7953, 0.0000, 0.0000], [2.3976, 4.1528, 0.0000], [2.3976, 1.3843, 9.4238]], "species": ["Hg", "Hg", "Li", "Cd", "Bi", "Li"], "frac_coords": [[0.3997, 0.3997, 0.8010], [0.6003, 0.6003, 0.1990], [0.7027, 0.7027, 0.8919], [0.5000, 0.5000, 0.5000], [0.0000, 0.0000, 0.0000], [0.2973, 0.2973, 0.1081]]}

***

# 15
{"formula": "Li3Cd3HgBi2", "functional": "PBE", "state": "optimized geometry", "sg": "P-62m (189)", "dft_energy_ev_per_atom": -2.07, "crystal_system": "hexagonal", "lattice_angstrom": [[3.4664, 0.0000, 0.0000], [0.0000, 8.3887, 0.0000], [0.0000, -4.1943, 7.2648]], "species": ["Li", "Cd", "Bi", "Li", "Li", "Hg", "Cd", "Cd", "Bi"], "frac_coords": [[0.0000, 0.3549, 0.0000], [0.5000, 0.0000, 0.7193], [0.5000, 0.6667, 0.3333], [0.0000, 0.0000, 0.3549], [0.0000, 0.6451, 0.6451], [0.0000, 0.0000, 0.0000], [0.5000, 0.2807, 0.2807], [0.5000, 0.7193, 0.0000], [0.5000, 0.3333, 0.6667]]}

***

# 16
{"formula": "LuCdHgBi", "functional": "PBE", "state": "optimized geometry", "sg": "F-43m (216)", "dft_energy_ev_per_atom": -2.58, "crystal_system": "cubic", "lattice_angstrom": [[-1.7007, -3.5086, 3.5943], [-2.6611, -4.3141, -1.5584], [2.2751, -4.7793, 0.3231]], "species": ["Cd", "Bi", "Hg", "Lu"], "frac_coords": [[0.7500, 0.7500, 0.7500], [0.5000, 0.5000, 0.5000], [0.0000, 0.0000, 0.0000], [0.2500, 0.2500, 0.2500]]}

***

# 17
{"formula": "MgCdHg2Bi", "functional": "PBE", "state": "optimized geometry", "sg": "P2_1/m (11)", "dft_energy_ev_per_atom": -1.44, "crystal_system": "monoclinic", "lattice_angstrom": [[-1.5751, 4.3930, 1.5882], [-3.9669, -3.8590, 6.7401], [7.0045, 2.4117, 0.2757]], "species": ["Mg", "Cd", "Hg", "Bi", "Hg", "Hg", "Hg", "Mg", "Cd", "Bi"], "frac_coords": [[0.7500, 0.3114, 0.1450], [0.2500, 0.9064, 0.3623], [0.2500, 0.3259, 0.4520], [0.7500, 0.9637, 0.1563], [0.7500, 0.6741, 0.5480], [0.2500, 0.5051, 0.1425], [0.7500, 0.4949, 0.8575], [0.2500, 0.6886, 0.8550], [0.7500, 0.0936, 0.6377], [0.2500, 0.0363, 0.8437]]}

***

# 18
{"formula": "Na3Cd2HgBi3", "functional": "PBE", "state": "optimized geometry", "sg": "P-62m (189)", "dft_energy_ev_per_atom": -2.13, "crystal_system": "hexagonal", "lattice_angstrom": [[-3.0606, -1.1551, -1.2483], [4.0225, -2.2043, -7.8230], [-0.4569, -6.0618, 6.7293]], "species": ["Bi", "Na", "Hg", "Bi", "Na", "Na", "Cd", "Cd", "Bi"], "frac_coords": [[0.0000, 0.6156, 0.6156], [0.5000, 0.2862, 0.2862], [0.0000, 0.0000, 0.0000], [0.0000, 0.3844, 0.0000], [0.5000, 0.7138, 0.0000], [0.5000, 0.0000, 0.7138], [0.5000, 0.3333, 0.6667], [0.5000, 0.6667, 0.3333], [0.0000, 0.0000, 0.3844]]}

***

# 19
{"formula": "NaCd2Hg2Bi2", "functional": "PBE", "state": "optimized geometry", "sg": "P-1 (2)", "dft_energy_ev_per_atom": -1.71, "crystal_system": "triclinic", "lattice_angstrom": [[-1.0955, -3.9771, -3.4841], [4.4110, 1.9703, -3.7674], [4.8324, -3.5920, 1.9462]], "species": ["Hg", "Na", "Cd", "Cd", "Hg", "Bi", "Bi"], "frac_coords": [[0.5156, 0.2591, 0.7965], [0.0000, 0.0000, 0.0000], [0.5151, 0.8046, 0.6860], [0.4849, 0.1954, 0.3140], [0.4844, 0.7409, 0.2035], [0.0112, 0.5580, 0.7374], [0.9888, 0.4420, 0.2626]]}

***

# 20
{"formula": "NaCdHg2Bi", "functional": "PBE", "state": "optimized geometry", "sg": "Cmcm (63)", "dft_energy_ev_per_atom": -1.37, "crystal_system": "orthorhombic", "lattice_angstrom": [[-1.2062, 2.2751, 5.3318], [-5.7006, -1.1791, -0.7865], [3.8920, -6.6700, 3.7265]], "species": ["Bi", "Hg", "Na", "Hg", "Bi", "Cd", "Hg", "Na", "Hg", "Cd"], "frac_coords": [[0.7500, 0.7491, 0.4981], [0.5000, 0.2521, 0.0000], [0.2500, 0.8526, 0.7051], [0.0000, 0.2521, 0.0000], [0.2500, 0.2509, 0.5019], [0.2500, 0.6586, 0.3172], [0.0000, 0.7479, 0.0000], [0.7500, 0.1474, 0.2949], [0.5000, 0.7479, 0.0000], [0.7500, 0.3414, 0.6828]]}